KCr2Tc after structural relaxation, computed with PBE.

```
KCr2Tc
1.0
1.5187 -2.2271 0.0000
1.5187 2.2271 0.0000
0.0000 0.0000 9.9376
K Cr Tc
1 2 1
Cartesian
0.0000 0.0000 0.0000
1.5187 0.0000 3.0178
1.5187 0.0000 6.9198
0.0000 0.0000 4.9688
```

Summary:
Its space-group type is Cmmm, No. 65. The value obtained for the total energy is -6.7110 eV per atom. For the energy above the most stable polymorph in this dataset, the calculation gives 179 meV/atom. Its crystal system is orthorhombic. The value obtained for the energy relative to the elements is 967 meV per atom. Its density of states at the Fermi level is 5.24 states/eV/f.u.

Sm3ThOs8 after structural relaxation, computed with PBE.

```
Sm3ThOs8
1.0
2.7109 1.5651 8.8708
-2.7109 1.5651 8.8708
0.0000 -3.1303 8.8708
Sm Th Os
3 1 8
Cartesian
0.0000 0.0000 0.0000
0.0000 0.0000 3.3063
0.0000 0.0000 13.2662
0.0000 0.0000 16.6187
0.0000 -1.5669 6.0601
-1.3570 0.7834 6.0601
-1.3434 -0.7756 10.5263
0.0000 0.0000 8.2838
1.3570 0.7834 6.0601
1.3434 -0.7756 10.5263
0.0000 1.5512 10.5263
0.0000 0.0000 21.5782
```

Summary:
Its space-group type is R3m, No. 160. The value obtained for the total energy is -9.4634 eV per atom. Its crystal system is trigonal. The value obtained for the energy relative to the elements is -179 meV per atom. Its density of states at the Fermi level is 13.19 states/eV/f.u.

Which value of energy relative to the elements does entry 1 give? 967 meV per atom

Which formula does entry 1 have? KCr2Tc